Compound: Cd2FeOs
Source: Alexandria
Functional: GGA-PBE
Structure: relaxed

Structure (extended XYZ):
```
4
Lattice="5.125 0.007 0.000 2.099 4.676 0.000 -3.612 -2.341 2.782" Properties=species:S:1:pos:R:3 pbc="T T T"
Cd 0.000 0.000 0.000
Cd 3.612 2.341 0.000
Fe 1.049 2.338 1.391
Os 2.563 0.003 1.391
```

Properties
The volume is 67 Å³/cell. The energy relative to the lowest polymorph listed for this composition comes out at 0.309 eV/atom.